A PBEsol-optimized structure of NiC2F, computed with SCAN.

Values from the calculation:
ΔE_f (raw) = 1.441 eV per atom
Crystal system = tetragonal

Unit cell a=4.3675 b=4.3675 c=9.4128 alpha=90.00 beta=90.00 gamma=90.00
Element x y z (fractional)
Ni: 0.0000 0.0000 0.0000
Ni: 0.0000 0.5000 0.2500
Ni: 0.5000 0.0000 0.7500
Ni: 0.5000 0.5000 0.5000
C: 0.1683 0.2500 0.1250
C: 0.2500 0.6683 0.3750
C: 0.2500 0.8317 0.8750
C: 0.3317 0.2500 0.6250
C: 0.6683 0.7500 0.6250
C: 0.7500 0.1683 0.8750
C: 0.7500 0.3317 0.3750
C: 0.8317 0.7500 0.1250
F: 0.0000 0.0000 0.5000
F: 0.0000 0.5000 0.7500
F: 0.5000 0.0000 0.2500
F: 0.5000 0.5000 0.0000

---

A PBEsol-optimized structure of MgPt2Rh, computed with SCAN.

Values from the calculation:
ΔE_f = -228 kJ/mol of formula units
Crystal system = orthorhombic

Unit cell a=5.5380 b=7.6178 c=2.7701 alpha=90.00 beta=90.00 gamma=90.00
Element x y z (fractional)
Mg: 0.0000 0.0000 0.0000
Mg: 0.5000 0.5000 0.0000
Pt: 0.2500 0.2500 0.5000
Pt: 0.2500 0.7500 0.5000
Pt: 0.7500 0.2500 0.5000
Pt: 0.7500 0.7500 0.5000
Rh: 0.0000 0.5000 0.0000
Rh: 0.5000 0.0000 0.0000

---

A PBEsol-optimized structure of BeH2Cl2, computed with SCAN.

Values from the calculation:
Calculated total energy = -45.5 eV per cell
Crystal system = tetragonal

Unit cell a=5.7355 b=5.7355 c=3.1769 alpha=90.00 beta=90.00 gamma=90.00
Element x y z (fractional)
Be: 0.0000 0.0000 0.0000
Be: 0.5000 0.5000 0.0000
H: 0.1543 0.3457 0.0000
H: 0.3457 0.8457 0.0000
H: 0.6543 0.1543 0.0000
H: 0.8457 0.6543 0.0000
Cl: 0.1809 0.6809 0.5000
Cl: 0.3191 0.1809 0.5000
Cl: 0.6809 0.8191 0.5000
Cl: 0.8191 0.3191 0.5000

---

A PBEsol-optimized structure of Ba2NF, computed with SCAN.

Values from the calculation:
ΔE_f (raw) = -1.917 eV per atom
Offset from the most stable computed form = 0.0 meV/atom
Crystal system = trigonal

Unit cell a=3.9795 b=3.9795 c=19.8674 alpha=90.00 beta=90.00 gamma=120.00
Element x y z (fractional)
Ba: 0.0000 0.0000 0.2423
Ba: 0.0000 0.0000 0.7577
Ba: 0.3333 0.6667 0.4244
Ba: 0.3333 0.6667 0.9090
Ba: 0.6667 0.3333 0.0911
Ba: 0.6667 0.3333 0.5756
N: 0.0000 0.0000 0.5000
N: 0.3333 0.6667 0.1667
N: 0.6667 0.3333 0.8333
F: 0.0000 0.0000 0.0000
F: 0.3333 0.6667 0.6667
F: 0.6667 0.3333 0.3333

---

A PBEsol-optimized structure of ReRh7, computed with SCAN.

Values from the calculation:
ΔE_f = -40 kJ/mol of formula units
Offset from the most stable computed form = 18.9 meV/atom
Crystal system = monoclinic

Unit cell a=8.4732 b=3.7865 c=7.5625 alpha=90.00 beta=116.51 gamma=90.00
Element x y z (fractional)
Re: 0.0000 0.0000 0.0000
Re: 0.5000 0.5000 0.0000
Rh: 0.0000 0.0000 0.5000
Rh: 0.0018 0.5000 0.2472
Rh: 0.2482 0.0000 0.3725
Rh: 0.2477 0.5000 0.1226
Rh: 0.2523 0.0000 0.8774
Rh: 0.2518 0.5000 0.6275
Rh: 0.4982 0.0000 0.7528
Rh: 0.5000 0.5000 0.5000
Rh: 0.5018 0.0000 0.2472
Rh: 0.7477 0.0000 0.1226
Rh: 0.7482 0.5000 0.3725
Rh: 0.7518 0.0000 0.6275
Rh: 0.7523 0.5000 0.8774
Rh: 0.9982 0.5000 0.7528

---

A PBEsol-optimized structure of NaLa2ZrN, computed with SCAN.

Values from the calculation:
ΔE_f (raw) = -0.083 eV per atom
Crystal system = tetragonal

Unit cell a=5.0240 b=5.0240 c=4.8045 alpha=90.00 beta=90.00 gamma=90.00
Element x y z (fractional)
Na: 0.0000 0.0000 0.0000
La: 0.0000 0.5000 0.5000
La: 0.5000 0.0000 0.5000
Zr: 0.5000 0.5000 0.0000
N: 0.0000 0.0000 0.5000

---

A PBEsol-optimized structure of Ca4NiPt, computed with SCAN.

Values from the calculation:
ΔE_f = 439 kJ/mol of formula units
Crystal system = cubic

Unit cell a=5.8541 b=5.8541 c=5.8541 alpha=60.00 beta=60.00 gamma=60.00
Element x y z (fractional)
Ca: 0.1246 0.1246 0.1246
Ca: 0.1246 0.1246 0.6262
Ca: 0.1246 0.6262 0.1246
Ca: 0.6262 0.1246 0.1246
Ni: 0.5000 0.5000 0.5000
Pt: 0.7500 0.7500 0.7500

---

A PBEsol-optimized structure of As2RuCl, computed with SCAN.

Values from the calculation:
ΔE_f (raw) = -0.091 eV per atom
Offset from the most stable computed form = 0.0 meV/atom
Crystal system = trigonal

Unit cell a=3.2367 b=3.2367 c=22.9688 alpha=90.00 beta=90.00 gamma=120.00
Element x y z (fractional)
As: 0.0000 0.0000 0.2396
As: 0.0000 0.0000 0.7604
As: 0.3333 0.6667 0.4270
As: 0.3333 0.6667 0.9063
As: 0.6667 0.3333 0.0937
As: 0.6667 0.3333 0.5730
Ru: 0.0000 0.0000 0.5000
Ru: 0.3333 0.6667 0.1667
Ru: 0.6667 0.3333 0.8333
Cl: 0.0000 0.0000 0.0000
Cl: 0.3333 0.6667 0.6667
Cl: 0.6667 0.3333 0.3333